The following is a DFT calculation (GGA-PBE) of Tb2Si4Ni3Rh after structural relaxation.

a b c (Å): 3.9754 3.9754 9.7045
angles (deg): 90.00 90.00 90.00
Fractional coordinates of all 10 atoms:
Tb 0.5000 0.0000 0.2416
Tb 0.0000 0.5000 0.7584
Si 0.5000 0.5000 0.0000
Si 0.0000 0.0000 0.0000
Si 0.5000 0.0000 0.6378
Si 0.0000 0.5000 0.3622
Ni 0.0000 0.0000 0.5000
Ni 0.5000 0.0000 0.8766
Ni 0.0000 0.5000 0.1234
Rh 0.5000 0.5000 0.5000

Values from the calculation:
The calculation puts the uncorrected formation energy at -0.91 eV/atom. The value obtained for the final energy is -64.76 eV/f.u. As for the spin magnetization: 0.001 μB per cell.

The following is a DFT calculation (GGA-PBE) of DyBi2Pt after structural relaxation.

a b c (Å): 3.7092 3.7092 10.2028
angles (deg): 79.53 79.53 60.00
Fractional coordinates of all 4 atoms:
Bi 0.1059 0.1059 0.6822
Bi 0.8941 0.8941 0.3178
Pt 0.5000 0.5000 0.5000
Dy 0.0000 0.0000 0.0000

Values from the calculation:
The energy relative to the elements comes out at -0.0459 eV/atom. The value obtained for the final energy is -18.59 eV/f.u. As for the spin magnetization: 0.000 μB per cell.

The following is a DFT calculation (GGA-PBE) of MnTc2Ru after structural relaxation.

a b c (Å): 4.6791 4.6791 4.6791
angles (deg): 132.21 132.21 69.90
Site moments in Bohr magnetons follow the coordinates.
Fractional coordinates of all 4 atoms:
Mn 0.2500 0.7500 0.5000  2.04
Ru 0.7500 0.2500 0.5000  -0.18
Tc 0.0000 0.0000 0.0000  -0.35
Tc 0.5000 0.5000 0.0000  -0.35

Values from the calculation:
The value obtained for the distance to the lowest polymorph of the same formula is 0.004 eV per atom. The energy relative to the elements comes out at 0.0599 eV/atom. The value obtained for the final energy is -38.94 eV/f.u. As for the spin magnetization: 1.190 μB per cell.

The following is a DFT calculation (GGA-PBE) of Dy2MgCo after structural relaxation.

a b c (Å): 3.7054 3.7054 10.0906
angles (deg): 79.42 79.42 60.00
Fractional coordinates of all 4 atoms:
Mg 0.0000 0.0000 0.0000
Co 0.5000 0.5000 0.5000
Dy 0.1159 0.1159 0.6524
Dy 0.8841 0.8841 0.3476

Values from the calculation:
The value obtained for the distance to the lowest polymorph of the same formula is 0.261 eV per atom. The energy relative to the elements comes out at 0.1234 eV/atom. The value obtained for the final energy is -17.41 eV/f.u. As for the spin magnetization: 0.000 μB per cell.

The following is a DFT calculation (GGA-PBE) of Pu3BiCl3 after structural relaxation.

a b c (Å): 6.4554 6.4554 11.1010
angles (deg): 73.10 73.10 60.00
Site moments in Bohr magnetons follow the coordinates.
Fractional coordinates of all 14 atoms:
Pu 0.1497 0.7288 0.1820  0.60
Pu 0.9396 0.1497 0.1820  0.60
Pu 0.7288 0.9396 0.1820  0.60
Pu 0.2712 0.0604 0.8180  0.60
Pu 0.0604 0.8503 0.8180  0.60
Pu 0.8503 0.2712 0.8180  0.60
Bi 0.3334 0.3334 0.9999  -0.03
Bi 0.6666 0.6666 0.0001  -0.03
Cl 0.5350 0.6834 0.6727  0.00
Cl 0.6834 0.1089 0.6727  0.00
Cl 0.1089 0.5350 0.6727  0.00
Cl 0.8911 0.4650 0.3273  0.00
Cl 0.3166 0.8911 0.3273  0.00
Cl 0.4650 0.3166 0.3273  0.00

Values from the calculation:
The calculation puts the uncorrected formation energy at -0.50 eV/atom. The value obtained for the final energy is -55.92 eV/f.u. As for the spin magnetization: 3.604 μB per cell.

The following is a DFT calculation (GGA-PBE) of AlTcAu after structural relaxation.

a b c (Å): 3.0594 3.0594 9.8665
angles (deg): 90.00 90.00 90.00
Fractional coordinates of all 6 atoms:
Tc 0.0000 0.5000 0.5802
Tc 0.5000 0.0000 0.4198
Al 0.0000 0.5000 0.2682
Al 0.5000 0.0000 0.7318
Au 0.5000 0.0000 0.1060
Au 0.0000 0.5000 0.8940

Values from the calculation:
The value obtained for the distance to the lowest polymorph of the same formula is 0.000 eV per atom. The energy relative to the elements comes out at -0.3464 eV/atom. The value obtained for the final energy is -18.43 eV/f.u. As for the spin magnetization: 0.000 μB per cell.

The following is a DFT calculation (GGA-PBE) of Ce2DyFe after structural relaxation.

a b c (Å): 3.6683 3.6683 9.1064
angles (deg): 78.38 78.38 60.00
Fractional coordinates of all 4 atoms:
Fe 0.0000 0.0000 0.0000
Ce 0.2750 0.2750 0.1750
Ce 0.7250 0.7250 0.8250
Dy 0.5000 0.5000 0.5000

Values from the calculation:
The value obtained for the distance to the lowest polymorph of the same formula is 0.173 eV per atom. The energy relative to the elements comes out at 0.1008 eV/atom. The value obtained for the final energy is -24.53 eV/f.u. As for the spin magnetization: 0.000 μB per cell.

The following is a DFT calculation (GGA-PBE) of CeSnSb after structural relaxation.

a b c (Å): 3.9425 3.9425 6.0033
angles (deg): 109.17 109.17 90.00
Site moments in Bohr magnetons follow the coordinates.
Fractional coordinates of all 3 atoms:
Sb 0.3228 0.3228 0.6455  0.00
Sn 0.6822 0.6822 0.3644  0.05
Ce 0.9950 0.9950 0.9901  0.93

Values from the calculation:
The value obtained for the distance to the lowest polymorph of the same formula is 0.238 eV per atom. The calculation puts the uncorrected formation energy at -0.46 eV/atom. The value obtained for the final energy is -15.44 eV/f.u. As for the spin magnetization: 1.401 μB per cell.

What is the final energy in the fifth record?
-55.92 eV/f.u.

Please write out number 4 again, unchanged.
The following is a DFT calculation (GGA-PBE) of Dy2MgCo after structural relaxation.

a b c (Å): 3.7054 3.7054 10.0906
angles (deg): 79.42 79.42 60.00
Fractional coordinates of all 4 atoms:
Mg 0.0000 0.0000 0.0000
Co 0.5000 0.5000 0.5000
Dy 0.1159 0.1159 0.6524
Dy 0.8841 0.8841 0.3476

Values from the calculation:
The value obtained for the distance to the lowest polymorph of the same formula is 0.261 eV per atom. The energy relative to the elements comes out at 0.1234 eV/atom. The value obtained for the final energy is -17.41 eV/f.u. As for the spin magnetization: 0.000 μB per cell.

What did the sixth record say?
The following is a DFT calculation (GGA-PBE) of AlTcAu after structural relaxation.

a b c (Å): 3.0594 3.0594 9.8665
angles (deg): 90.00 90.00 90.00
Fractional coordinates of all 6 atoms:
Tc 0.0000 0.5000 0.5802
Tc 0.5000 0.0000 0.4198
Al 0.0000 0.5000 0.2682
Al 0.5000 0.0000 0.7318
Au 0.5000 0.0000 0.1060
Au 0.0000 0.5000 0.8940

Values from the calculation:
The value obtained for the distance to the lowest polymorph of the same formula is 0.000 eV per atom. The energy relative to the elements comes out at -0.3464 eV/atom. The value obtained for the final energy is -18.43 eV/f.u. As for the spin magnetization: 0.000 μB per cell.